Computed, not measured: an optimized crystal structure of Hf3NbNi at the PBE-GGA level of DFT.

a b c (Å): 4.7646 4.7646 4.7646
angles (deg): 90.00 90.00 90.00
Closest atoms and distances in Å follow each position.
Sites, in units of the cell vectors:
Ni1 0.0000 0.0000 0.0000  6 Hf 2.38
Nb1 0.5000 0.5000 0.5000  12 Hf 3.37
Hf1 0.0000 0.5000 0.0000  2 Ni 2.38
Hf2 0.0000 0.0000 0.5000  2 Ni 2.38
Hf3 0.5000 0.0000 0.0000  2 Ni 2.38

## Properties
SG: Pm-3m
polymorph energy (0 for the lowest one): 0 meV/atom